DFT (PBE) results for crystalline Fe2ReRu at its relaxed geometry.

abc: 2.630 3.590 5.281
angles: 90.00 90.00 90.00
Sites, in units of the cell vectors:
Fe1 0.000 0.000 0.246
Fe2 0.000 0.000 0.754
Re1 0.500 0.500 0.500
Ru1 0.500 0.500 0.000

## Properties
ΔH_f (0 K) in eV/atom: 0.13
Total energy in eV/atom: -9.53